A relaxed structure of LaVPt2O. Source: Alexandria, functional GGA+U.

```
LaVPt2O
1.0
4.925 0.000 0.000
0.000 4.925 0.000
0.000 0.000 3.783
La V Pt O
1 1 2 1
Direct
0.000 0.000 0.000
0.500 0.500 0.000
0.000 0.500 0.500
0.500 0.000 0.500
0.500 0.500 0.500
```

Symmetry   P4/mmm
Total DFT energy (no corrections)   -31.81 eV per cell